[1]
A plane-wave DFT calculation with GGA-PBE was carried out for crystalline IrSe2BrN at its relaxed geometry.

The value obtained for the volume is 100.4 Å³/cell. Its space group is P4/mmm. The total magnetization comes out at 0.000 μB/cell. As for the relative energy among the computed polymorphs: 0.0000 eV per atom. As for the crystal system: tetragonal. The calculation puts the raw total energy at -4.600 eV per atom.

Geometry as extended XYZ:
```
5
Lattice="5.231 0.000 0.000 0.000 5.231 0.000 0.000 0.000 3.670" Properties=species:S:1:pos:R:3 pbc="T T T"
Ir 0.000 0.000 0.000
Se 0.000 2.616 0.000
Se 2.616 0.000 0.000
Br 2.616 2.616 1.835
N 0.000 0.000 1.835
```

---

[2]
A plane-wave DFT calculation with GGA-PBE was carried out for crystalline IrSe2BrN at its relaxed geometry.

The value obtained for the volume is 118.8 Å³/cell. Its space group is P4/mmm. The total magnetization comes out at 0.000 μB/cell. As for the relative energy among the computed polymorphs: 1.1249 eV per atom. As for the crystal system: tetragonal. The calculation puts the raw total energy at -3.475 eV per atom.

Geometry as extended XYZ:
```
5
Lattice="4.810 0.000 0.000 0.000 4.810 0.000 0.000 0.000 5.133" Properties=species:S:1:pos:R:3 pbc="T T T"
Ir 0.000 0.000 0.000
Se 0.000 2.405 0.000
Se 2.405 0.000 0.000
Br 0.000 0.000 2.566
N 2.405 2.405 2.566
```

---

[3]
A plane-wave DFT calculation with GGA-PBE was carried out for crystalline IrSeBr2N at its relaxed geometry.

The value obtained for the volume is 123.6 Å³/cell. Its space group is P4/mmm. The total magnetization comes out at 0.000 μB/cell. As for the relative energy among the computed polymorphs: 0.0000 eV per atom. As for the crystal system: tetragonal. The calculation puts the raw total energy at -3.163 eV per atom.

Geometry as extended XYZ:
```
5
Lattice="5.135 0.000 0.000 0.000 5.135 0.000 0.000 0.000 4.688" Properties=species:S:1:pos:R:3 pbc="T T T"
Ir 0.000 0.000 0.000
Se 0.000 0.000 2.344
Br 0.000 2.567 0.000
Br 2.567 0.000 0.000
N 2.567 2.567 2.344
```

---

[4]
A plane-wave DFT calculation with GGA-PBE was carried out for crystalline Sm6Ir2Br3N at its relaxed geometry.

The value obtained for the volume is 318.2 Å³/cell. Its space group is C2/m. The total magnetization comes out at 0.000 μB/cell. As for the crystal system: monoclinic. The calculation puts the raw total energy at -6.108 eV per atom.

Geometry as extended XYZ:
```
12
Lattice="3.473 -6.007 0.000 3.473 6.007 0.000 -2.230 0.000 7.625" Properties=species:S:1:pos:R:3 pbc="T T T"
Sm 1.085 1.870 1.409
Sm -0.049 0.000 6.207
Sm 1.085 -1.870 1.409
Sm 3.631 1.870 6.216
Sm 4.766 0.000 1.418
Sm 3.631 -1.870 6.216
Ir 3.473 2.009 0.000
Ir 3.473 -2.009 0.000
Br 2.358 4.065 3.813
Br 2.358 0.000 3.813
Br 2.358 -4.065 3.813
N 0.000 0.000 0.000
```

---

[5]
A plane-wave DFT calculation with GGA-PBE was carried out for crystalline TcIr2BrN at its relaxed geometry.

The value obtained for the volume is 83.4 Å³/cell. Its space group is P4/mmm. The total magnetization comes out at 3.355 μB/cell. As for the crystal system: tetragonal. The calculation puts the raw total energy at -5.145 eV per atom.

Geometry as extended XYZ:
```
5
Lattice="4.734 0.000 0.000 0.000 4.734 0.000 0.000 0.000 3.723" Properties=species:S:1:pos:R:3 pbc="T T T"
Tc 0.000 0.000 0.000
Ir 0.000 2.367 1.861
Ir 2.367 0.000 1.861
Br 2.367 2.367 1.861
N 2.367 2.367 0.000
```

---

[6]
A plane-wave DFT calculation with GGA-PBE was carried out for crystalline Ti2IrBrN at its relaxed geometry.

The value obtained for the volume is 76.8 Å³/cell. Its space group is P4/mmm. The total magnetization comes out at 0.000 μB/cell. As for the crystal system: tetragonal. The calculation puts the raw total energy at -6.838 eV per atom.

Geometry as extended XYZ:
```
5
Lattice="4.002 0.000 0.000 0.000 4.002 0.000 0.000 0.000 4.793" Properties=species:S:1:pos:R:3 pbc="T T T"
Ti 0.000 2.001 0.000
Ti 2.001 0.000 0.000
Ir 0.000 0.000 2.397
Br 2.001 2.001 2.397
N 2.001 2.001 0.000
```